# 1
Computed, not measured: a geometry-optimized EuZn4Bi structure at the PBE level of DFT.

Geometry as CIF:
```
data_EuZn4Bi
_cell_length_a 5.653
_cell_length_b 5.653
_cell_length_c 5.653
_cell_angle_alpha 60.00
_cell_angle_beta 60.00
_cell_angle_gamma 60.00
_symmetry_space_group_name_H-M 'P 1'
_symmetry_Int_Tables_number 1
loop_
_symmetry_equiv_pos_as_xyz
'x,y,z'
loop_
_atom_site_label
_atom_site_fract_x
_atom_site_fract_y
_atom_site_fract_z
_atom_site_occupancy
Eu1 0.000 0.000 0.000 1
Zn1 0.127 0.624 0.624 1
Zn2 0.624 0.127 0.624 1
Zn3 0.624 0.624 0.127 1
Zn4 0.624 0.624 0.624 1
Bi1 0.250 0.250 0.250 1
```

## Properties
Formation energy, meV per atom: -138



# 2
Computed, not measured: a geometry-optimized Eu2ZnBi2 structure at the PBE level of DFT.

Geometry as CIF:
```
data_Eu2ZnBi2
_cell_length_a 4.785
_cell_length_b 4.785
_cell_length_c 8.206
_cell_angle_alpha 90.00
_cell_angle_beta 90.00
_cell_angle_gamma 120.00
_symmetry_space_group_name_H-M 'P 1'
_symmetry_Int_Tables_number 1
loop_
_symmetry_equiv_pos_as_xyz
'x,y,z'
loop_
_atom_site_label
_atom_site_fract_x
_atom_site_fract_y
_atom_site_fract_z
_atom_site_occupancy
Eu1 0.000 0.000 0.227 1
Eu2 0.000 0.000 0.773 1
Zn1 0.667 0.333 0.500 1
Bi1 0.333 0.667 0.500 1
Bi2 0.667 0.333 0.000 1
```

## Properties
Formation energy, meV per atom: -581



# 3
Computed, not measured: a geometry-optimized BiF5 structure at the PBE level of DFT.

Geometry as CIF:
```
data_BiF5
_cell_length_a 5.666
_cell_length_b 5.682
_cell_length_c 8.146
_cell_angle_alpha 95.66
_cell_angle_beta 108.24
_cell_angle_gamma 113.74
_symmetry_space_group_name_H-M 'P 1'
_symmetry_Int_Tables_number 1
loop_
_symmetry_equiv_pos_as_xyz
'x,y,z'
loop_
_atom_site_label
_atom_site_fract_x
_atom_site_fract_y
_atom_site_fract_z
_atom_site_occupancy
Bi1 0.000 0.000 0.000 1
Bi2 0.500 0.000 0.500 1
F1 0.010 0.319 0.139 1
F2 0.146 0.892 0.249 1
F3 0.312 0.637 0.538 1
F4 0.317 0.134 0.635 1
F5 0.399 0.220 0.032 1
F6 0.601 0.780 0.968 1
F7 0.683 0.866 0.365 1
F8 0.688 0.363 0.462 1
F9 0.854 0.108 0.751 1
F10 0.990 0.681 0.861 1
```

## Properties
Formation energy without anion corrections, kJ per mole of atoms: -171
Excess energy over the best structure of this formula in the dataset, meV per atom: 0



# 4
Computed, not measured: a geometry-optimized BiF structure at the PBE level of DFT.

Geometry as CIF:
```
data_BiF
_cell_length_a 3.388
_cell_length_b 12.225
_cell_length_c 6.516
_cell_angle_alpha 90.00
_cell_angle_beta 90.00
_cell_angle_gamma 90.00
_symmetry_space_group_name_H-M 'P 1'
_symmetry_Int_Tables_number 1
loop_
_symmetry_equiv_pos_as_xyz
'x,y,z'
loop_
_atom_site_label
_atom_site_fract_x
_atom_site_fract_y
_atom_site_fract_z
_atom_site_occupancy
Bi1 0.250 0.092 0.166 1
Bi2 0.250 0.408 0.166 1
Bi3 0.250 0.750 0.485 1
Bi4 0.750 0.250 0.515 1
Bi5 0.750 0.592 0.834 1
Bi6 0.750 0.908 0.834 1
F1 0.250 0.250 0.957 1
F2 0.250 0.565 0.346 1
F3 0.250 0.935 0.346 1
F4 0.750 0.065 0.654 1
F5 0.750 0.435 0.654 1
F6 0.750 0.750 0.043 1
```

## Properties
Formation energy without anion corrections, kJ per mole of atoms: -133
Excess energy over the best structure of this formula in the dataset, meV per atom: 39



# 5
Computed, not measured: a geometry-optimized BiF5 structure at the PBE level of DFT.

Geometry as CIF:
```
data_BiF5
_cell_length_a 4.208
_cell_length_b 6.246
_cell_length_c 7.192
_cell_angle_alpha 92.85
_cell_angle_beta 90.39
_cell_angle_gamma 109.59
_symmetry_space_group_name_H-M 'P 1'
_symmetry_Int_Tables_number 1
loop_
_symmetry_equiv_pos_as_xyz
'x,y,z'
loop_
_atom_site_label
_atom_site_fract_x
_atom_site_fract_y
_atom_site_fract_z
_atom_site_occupancy
Bi1 0.000 0.000 0.000 1
Bi2 0.500 0.000 0.500 1
F1 0.026 0.052 0.666 1
F2 0.055 0.613 0.751 1
F3 0.230 0.389 0.079 1
F4 0.343 0.623 0.579 1
F5 0.463 0.930 0.159 1
F6 0.537 0.070 0.841 1
F7 0.657 0.377 0.421 1
F8 0.770 0.611 0.921 1
F9 0.945 0.387 0.249 1
F10 0.974 0.948 0.334 1
```

## Properties
Formation energy without anion corrections, kJ per mole of atoms: -147
Excess energy over the best structure of this formula in the dataset, meV per atom: 247



# 6
Computed, not measured: a geometry-optimized BiF structure at the PBE level of DFT.

Geometry as CIF:
```
data_BiF
_cell_length_a 9.477
_cell_length_b 9.477
_cell_length_c 3.520
_cell_angle_alpha 90.00
_cell_angle_beta 90.00
_cell_angle_gamma 120.00
_symmetry_space_group_name_H-M 'P 1'
_symmetry_Int_Tables_number 1
loop_
_symmetry_equiv_pos_as_xyz
'x,y,z'
loop_
_atom_site_label
_atom_site_fract_x
_atom_site_fract_y
_atom_site_fract_z
_atom_site_occupancy
Bi1 0.032 0.320 0.250 1
Bi2 0.288 0.968 0.250 1
Bi3 0.320 0.288 0.750 1
Bi4 0.680 0.712 0.250 1
Bi5 0.712 0.032 0.750 1
Bi6 0.968 0.680 0.750 1
F1 0.121 0.540 0.750 1
F2 0.419 0.879 0.750 1
F3 0.460 0.581 0.750 1
F4 0.540 0.419 0.250 1
F5 0.581 0.121 0.250 1
F6 0.879 0.460 0.250 1
```

## Properties
Formation energy without anion corrections, kJ per mole of atoms: -120
Excess energy over the best structure of this formula in the dataset, meV per atom: 177